--- w ---
The following is a PBE calculation of Ce3Ga2Au3 after structural relaxation, from Alexandria via LeMat-Bulk.

The structure in POSCAR format:
```
Ce3Ga2Au3
1.0
-0.8317 2.1798 3.3353
-4.7293 -2.3680 0.3683
6.9707 -5.7472 3.0109
Ce Ga Au
3 2 3
Cartesian
2.9394 -2.8913 5.1064
-1.5297 -3.0441 1.6081
0.0000 0.0000 0.0000
-0.2044 -2.9669 4.3718
1.6141 -2.9684 2.3426
0.9916 -5.3187 3.7234
-2.7805 -0.0941 1.8518
0.4181 -0.6167 2.9910
```

ρ = 10.24 Mg/m³
symmetry = C2/m (12)
M_tot = 0.300 μB/atom



--- x ---
The following is a PBE calculation of Ce3Ga2Au3 after structural relaxation, from Alexandria via LeMat-Bulk.

The structure in POSCAR format:
```
Ce3Ga2Au3
1.0
-1.3864 2.6935 -3.3255
4.5639 -3.3792 -1.5972
-9.5847 -10.7271 -4.6926
Ce Ga Au
6 4 6
Cartesian
-1.3014 -4.5965 -6.2229
-7.9309 -9.9781 -4.7755
1.5237 -1.4347 -4.8398
-5.1058 -6.8163 -3.3923
-2.0858 -1.8620 -3.6811
-4.3214 -9.5508 -5.9342
-7.0446 -9.4709 -7.7767
-2.2000 -5.1175 -3.2278
-4.2072 -6.2953 -6.3875
0.6374 -1.9419 -1.8386
-4.1685 -4.0206 -4.5612
-6.1945 -11.8195 -6.9908
-0.2127 0.4067 -2.6245
-2.2387 -7.3922 -5.0541
0.2867 -4.0905 -3.4327
-6.6939 -7.3223 -6.1826
```

ρ = 10.29 Mg/m³
symmetry = Cmcm (63)
M_tot = 0.302 μB/atom



Which structure wins on stability? x wins.



--- w ---
The following is a PBE calculation of CeGaAu4 after structural relaxation, from Alexandria via LeMat-Bulk.

The structure in POSCAR format:
```
CeGaAu4
1.0
5.9120 0.0436 2.0428
2.2206 5.4793 2.0428
-0.0251 -0.0171 7.8225
Ce Ga Au
2 2 8
Cartesian
6.3727 4.3277 9.5693
1.7347 1.1781 2.3389
4.3374 2.9455 3.8743
3.7701 2.5603 8.0338
6.1783 4.1957 4.9374
2.1619 3.7084 4.9788
3.0279 4.2905 2.0428
3.8632 4.8637 6.9293
1.9292 1.3101 6.9707
5.9455 1.7974 6.9293
5.1047 1.2323 2.0428
4.2443 0.6421 4.9788
```

ρ = 13.09 Mg/m³
symmetry = C2/m (12)
M_tot = 0.163 μB/atom



--- x ---
The following is a PBE calculation of CeGaAu4 after structural relaxation, from Alexandria via LeMat-Bulk.

The structure in POSCAR format:
```
CeGaAu4
1.0
5.6314 0.0000 0.0000
2.8157 4.8770 0.0000
2.8157 1.6257 4.5980
Au Ga Ce
4 1 1
Cartesian
5.6314 3.2513 0.5688
5.6314 1.6201 2.8757
7.0441 4.0669 2.8757
4.2187 4.0669 2.8757
0.0000 0.0000 0.0000
2.8157 1.6257 1.1495
```

ρ = 13.12 Mg/m³
symmetry = F-43m (216)
M_tot = 0.168 μB/atom



--- y ---
The following is a PBE calculation of CeGaAu4 after structural relaxation, from Alexandria via LeMat-Bulk.

The structure in POSCAR format:
```
CeGaAu4
1.0
5.0846 0.0000 0.0000
0.0000 7.3030 0.0000
-2.5423 0.0000 6.9793
Ce Ga Au
2 2 8
Cartesian
0.0000 5.4772 5.3338
2.5423 1.8257 1.6455
0.0000 5.4772 1.8920
2.5423 1.8257 5.0873
0.0000 3.1872 2.9849
2.5423 4.1158 3.9944
0.0000 0.4643 2.9849
2.5423 6.8387 3.9944
2.5423 5.4772 1.3105
0.0000 1.8257 5.6688
0.0000 3.6515 0.0000
0.0000 0.0000 0.0000
```

ρ = 12.79 Mg/m³
symmetry = Cmcm (63)
M_tot = 0.156 μB/atom



Which structure wins on stability? w wins.



--- w ---
The following is a PBE calculation of CeGa2Au4 after structural relaxation, from Alexandria via LeMat-Bulk.

The structure in POSCAR format:
```
CeGa2Au4
1.0
-3.4975 1.0698 -2.1252
-3.7079 -1.7738 0.9994
-4.2471 7.5382 6.5740
Ce Ga Au
1 2 4
Cartesian
0.0000 0.0000 0.0000
-8.2743 3.7985 2.8997
-3.1782 3.0357 2.5485
-8.7472 5.7906 4.6806
-7.8045 1.8198 1.1305
-2.7053 1.0436 0.7676
-3.6479 5.0144 4.3177
```

ρ = 10.80 Mg/m³
symmetry = R-3m (166)
M_tot = 0.102 μB/atom



--- x ---
The following is a PBE calculation of CeGa2Au4 after structural relaxation, from Alexandria via LeMat-Bulk.

The structure in POSCAR format:
```
CeGa2Au4
1.0
-0.3322 -2.3063 3.9703
6.6893 0.6930 0.9623
-2.8319 15.3124 8.6579
Au Ga Ce
16 8 4
Cartesian
-0.2450 10.2395 7.2620
3.7701 3.4596 6.3284
2.6173 11.1430 10.6952
0.9079 2.5561 2.8952
2.5787 10.2719 7.5171
0.9465 3.4272 6.0734
-1.3427 10.9929 10.2767
4.8679 2.7061 3.3137
-0.2627 7.7694 5.8257
3.7879 5.9297 7.7648
1.7037 13.5166 11.9976
1.8215 0.1825 1.5928
2.1554 6.2812 5.1635
1.3697 7.4179 8.4270
-0.3665 -0.5648 3.6446
3.8917 14.2639 9.9459
3.6026 8.1794 6.3872
-0.0775 5.5197 7.2032
-1.1167 13.2149 11.5864
4.6419 0.4842 2.0041
4.1843 12.0158 8.6644
-0.6591 1.6833 4.9260
0.8354 9.6410 9.6737
2.6898 4.0581 3.9168
4.5739 8.7014 9.4406
-1.0487 4.9977 4.1498
0.7519 12.9871 8.9415
2.7732 0.7119 4.6489
```

ρ = 12.72 Mg/m³
symmetry = Pnma (62)
M_tot = 0.119 μB/atom



Which structure wins on stability? x wins.



--- w ---
The following is a PBE calculation of Ce2Ga3Au2 after structural relaxation, from Alexandria via LeMat-Bulk.

The structure in POSCAR format:
```
Ce2Ga3Au2
1.0
-2.9725 2.8448 1.4229
-3.2342 -0.1231 -6.5102
-4.0708 -8.6784 2.1864
Ce Ga Au
4 6 4
Cartesian
-2.5580 -2.3151 -0.7153
-7.7195 -3.6416 -2.1856
-7.2161 -5.0342 1.6502
-3.0615 -0.9225 -4.5511
-4.9479 -3.3856 -3.5674
-5.3296 -2.5710 0.6665
-3.4664 0.5609 -1.7027
-6.8111 -6.5175 -1.1981
-7.9141 -6.5595 -3.4183
-2.3635 0.6028 0.5174
-6.5717 -1.3377 -4.3938
-3.7059 -4.6190 1.4929
-4.9761 -4.6673 -1.0639
-5.3015 -1.2894 -1.8370
```

ρ = 9.67 Mg/m³
symmetry = Cmcm (63)
M_tot = 0.188 μB/atom



--- x ---
The following is a PBE calculation of Ce2Ga3Au2 after structural relaxation, from Alexandria via LeMat-Bulk.

The structure in POSCAR format:
```
Ce2Ga3Au2
1.0
4.5376 0.0000 0.0000
-2.2688 5.2190 0.2282
0.0000 -2.5068 6.1869
Ce Ga Au
2 3 2
Cartesian
2.2688 3.0770 1.5553
0.0000 -0.3648 4.8599
2.2688 0.0000 0.0000
2.2688 -0.0601 2.6672
0.0000 2.7724 3.7479
2.2688 1.7222 4.7945
0.0000 0.9901 1.6206
```

ρ = 9.84 Mg/m³
symmetry = C2/m (12)
M_tot = 0.175 μB/atom



Which structure wins on stability? w wins.



--- w ---
The following is a PBE calculation of CePuGaAu after structural relaxation, from Alexandria via LeMat-Bulk.

The structure in POSCAR format:
```
CePuGaAu
1.0
-0.0259 3.6724 1.1922
-1.5015 -1.1079 3.3803
5.7726 -0.7156 2.3296
Ce Pu Ga Au
1 1 1 1
Cartesian
5.0219 -0.6225 2.0266
1.9585 -0.2428 0.7903
-0.1105 1.2013 2.5498
2.7322 0.8489 3.6970
```

ρ = 11.57 Mg/m³
symmetry = P4mm (99)
M_tot = 1.661 μB/atom



--- x ---
The following is a PBE calculation of CePuGaAu after structural relaxation, from Alexandria via LeMat-Bulk.

The structure in POSCAR format:
```
CePuGaAu
1.0
5.1660 0.0000 0.0000
2.5830 4.4738 0.0000
2.5830 1.4913 4.2180
Au Ga Ce Pu
1 1 1 1
Cartesian
2.5830 1.4913 1.0545
7.7489 4.4738 3.1635
5.1660 2.9826 2.1090
0.0000 0.0000 0.0000
```

ρ = 11.09 Mg/m³
symmetry = F-43m (216)
M_tot = 1.638 μB/atom



Which structure wins on stability? w wins.



--- w ---
The following is a PBE calculation of CeThGaAu after structural relaxation, from Alexandria via LeMat-Bulk.

The structure in POSCAR format:
```
CeThGaAu
1.0
-1.4603 2.6114 -2.9457
2.5888 -1.9073 -2.9742
-3.3710 -4.9729 0.2550
Ce Th Ga Au
1 1 1 1
Cartesian
-1.1873 -1.0617 -0.3526
-2.3591 -2.2619 -3.8281
-3.4653 -3.0986 -1.0290
-0.0623 -0.2082 -3.1460
```

ρ = 10.24 Mg/m³
symmetry = Amm2 (38)
M_tot = 0.268 μB/atom



--- x ---
The following is a PBE calculation of CeThGaAu after structural relaxation, from Alexandria via LeMat-Bulk.

The structure in POSCAR format:
```
CeThGaAu
1.0
5.2395 0.0000 0.0000
2.6197 4.5375 0.0000
2.6197 1.5125 4.2780
Ga Au Ce Th
1 1 1 1
Cartesian
0.0000 0.0000 0.0000
5.2395 3.0250 2.1390
7.8592 4.5375 3.2085
2.6197 1.5125 1.0695
```

ρ = 10.43 Mg/m³
symmetry = F-43m (216)
M_tot = 0.463 μB/atom



Which structure wins on stability? w wins.



--- w ---
The following is a PBE calculation of Ce2GdAu after structural relaxation, from Alexandria via LeMat-Bulk.

The structure in POSCAR format:
```
Ce2GdAu
1.0
5.5903 0.0000 0.0000
0.0000 4.2688 0.0000
0.0000 0.0000 4.2688
Gd Au Ce
1 1 2
Cartesian
2.7952 2.1344 2.1344
2.7952 0.0000 0.0000
0.0000 0.0000 2.1344
0.0000 2.1344 0.0000
```

ρ = 10.34 Mg/m³
symmetry = P4/mmm (123)
M_tot = 2.208 μB/atom



--- x ---
The following is a PBE calculation of Ce2GdAu after structural relaxation, from Alexandria via LeMat-Bulk.

The structure in POSCAR format:
```
Ce2GdAu
1.0
-0.3486 3.2554 -4.1667
-4.0519 3.3939 -0.3790
0.8322 5.2001 0.6236
Gd Au Ce
1 1 2
Cartesian
0.0000 0.0000 0.0000
-1.7841 5.9247 -1.9610
-2.6767 8.8865 -2.9420
-0.8916 2.9630 -0.9801
```

ρ = 10.00 Mg/m³
symmetry = Fm-3m (225)
M_tot = 2.537 μB/atom



--- y ---
The following is a PBE calculation of Ce2GdAu after structural relaxation, from Alexandria via LeMat-Bulk.

The structure in POSCAR format:
```
Ce2GdAu
1.0
3.8096 0.0000 0.0000
0.0000 3.8096 0.0000
0.0000 0.0000 7.8178
Gd Au Ce
1 1 2
Cartesian
1.9048 1.9048 3.9089
1.9048 1.9048 0.0000
0.0000 0.0000 6.2045
0.0000 0.0000 1.6132
```

ρ = 9.29 Mg/m³
symmetry = P4/mmm (123)
M_tot = 2.333 μB/atom



Which structure wins on stability? w wins.



--- w ---
The following is a PBE calculation of CeGdAu2 after structural relaxation, from Alexandria via LeMat-Bulk.

The structure in POSCAR format:
```
CeGdAu2
1.0
-3.2348 -2.5571 -0.3493
0.5791 -4.0961 0.1093
-1.7509 -2.1412 7.3759
Gd Au Ce
1 2 1
Cartesian
-2.2033 -4.3972 3.5679
-3.3014 -6.5961 5.3211
-1.1052 -2.1983 1.8147
0.0000 0.0000 0.0000
```

ρ = 10.31 Mg/m³
symmetry = R-3m (166)
M_tot = 2.112 μB/atom



--- x ---
The following is a PBE calculation of CeGdAu2 after structural relaxation, from Alexandria via LeMat-Bulk.

The structure in POSCAR format:
```
CeGdAu2
1.0
-1.9542 -2.8845 -1.0069
2.8800 -2.1381 0.5358
-2.1048 -1.0544 7.1057
Gd Au Ce
1 2 1
Cartesian
0.4629 -2.5113 -0.2355
-1.6055 -0.8043 5.4202
-0.4992 -0.2501 1.6855
-0.5895 -3.0385 3.3173
```

ρ = 11.66 Mg/m³
symmetry = P4/mmm (123)
M_tot = 2.062 μB/atom



Which structure wins on stability? x wins.